No. 1
Here is a relaxed structure of KLaIr2 from the Alexandria database. Energies are from PBEsol.

Symmetry ... C2/m
DFT formation energy ... 0.23 eV/atom
V ... 33.3 Å³/atom
Energy ... -6.300 eV/atom

```
KLaIr2
1.0
4.619 0.000 0.000
2.309 4.840 0.112
2.309 1.176 5.982
K Ir La
1 2 1
Direct
0.500 0.000 0.000
0.747 0.057 0.449
0.253 0.943 0.551
0.000 0.500 0.500
```


No. 2
Here is a relaxed structure of ReTe2Mo from the Alexandria database. Energies are from PBEsol.

Symmetry ... Cm
Raw formation energy ... 0.35 eV per atom
V ... 24.1 Å³/atom
Energy ... -7.691 eV/atom

```
ReTe2Mo
1.0
-3.414 0.164 -1.091
1.718 -4.187 -0.108
-1.990 0.660 6.325
Te Mo Re
2 1 1
Direct
0.241 0.482 0.648
0.010 0.020 0.101
0.481 0.962 0.421
0.768 0.536 0.330
```


No. 3
Here is a relaxed structure of LaZn2Tc from the Alexandria database. Energies are from PBEsol.

Symmetry ... Pm
DFT formation energy ... 0.14 eV/atom
V ... 18.8 Å³/atom
Energy ... -4.808 eV/atom

```
LaZn2Tc
1.0
-0.965 -1.185 -2.559
3.565 0.766 -1.699
2.232 -5.421 2.239
La Tc Zn
1 1 2
Direct
0.468 0.000 0.512
0.303 0.500 0.837
0.847 0.000 0.960
0.883 0.500 0.191
```